NaTl2Cd3O6 | the Alexandria database | PBE | optimized geometry; E = -4.14 eV per atom; E_form (uncorrected) = -924 meV/atom; calculated volume = 170.8 Å³/cell
1.0
-3.2666 -0.9572 0.5787
1.8476 -6.6319 -0.5395
2.4749 1.9458 6.8875
Cd Tl O Na
3 2 6 1
Direct
0.5000 0.5000 0.0000 Cd
0.1628 0.8344 0.3255 Cd
0.8372 0.1656 0.6745 Cd
0.8387 0.6776 0.6773 Tl
0.1613 0.3224 0.3227 Tl
0.6716 0.5830 0.3432 O
0.9995 0.2655 0.9990 O
0.0005 0.7345 0.0010 O
0.6730 0.0866 0.3461 O
0.3270 0.9134 0.6539 O
0.3284 0.4170 0.6568 O
0.5000 0.0000 0.0000 Na